Density functional theory data (PBE) for a relaxed HoSb2Pb crystal.

## Properties
raw formation energy: -1.52 eV per formula unit
E above lowest polymorph: 55 meV/atom
uncorrected energy: -4.51 eV per atom

POSCAR file:
```
HoSb2Pb
1.0
5.238 0.000 0.000
0.000 5.238 0.000
0.000 0.000 4.074
Ho Sb Pb
1 2 1
Direct
0.000 0.000 0.000 Ho
0.000 0.500 0.500 Sb
0.500 0.000 0.500 Sb
0.500 0.500 0.000 Pb
```